# 1
Computed, not measured: an optimized crystal structure of LiEuThIr at the PBE level of DFT.

- E_form (eV per atom) = -0.308

Geometry as CIF:
```
data_LiEuThIr
_cell_length_a 7.179
_cell_length_b 7.179
_cell_length_c 7.179
_cell_angle_alpha 90.00
_cell_angle_beta 90.00
_cell_angle_gamma 90.00
_space_group_name_H-M_alt 'F -4 3 m'
_space_group_IT_number 216
_space_group_name_Hall 'F -4 2 3'
loop_
_atom_site_label
_atom_site_type_symbol
_atom_site_fract_x
_atom_site_fract_y
_atom_site_fract_z
Li1 Li 0.000 0.000 0.000
Eu1 Eu 0.250 0.250 0.250
Th1 Th 0.250 0.250 0.750
Ir1 Ir 0.000 0.000 0.500
```

# 2
Computed, not measured: an optimized crystal structure of LiEuTlIr at the PBE level of DFT.

- E_form (eV per atom) = -0.174

Geometry as CIF:
```
data_LiEuTlIr
_cell_length_a 6.918
_cell_length_b 6.918
_cell_length_c 6.918
_cell_angle_alpha 90.00
_cell_angle_beta 90.00
_cell_angle_gamma 90.00
_space_group_name_H-M_alt 'F -4 3 m'
_space_group_IT_number 216
_space_group_name_Hall 'F -4 2 3'
loop_
_atom_site_label
_atom_site_type_symbol
_atom_site_fract_x
_atom_site_fract_y
_atom_site_fract_z
Li1 Li 0.000 0.000 0.000
Eu1 Eu 0.250 0.250 0.750
Tl1 Tl 0.250 0.250 0.250
Ir1 Ir 0.000 0.000 0.500
```

Repeat the first record exactly.
Computed, not measured: an optimized crystal structure of LiEuThIr at the PBE level of DFT.

- E_form (eV per atom) = -0.308

Geometry as CIF:
```
data_LiEuThIr
_cell_length_a 7.179
_cell_length_b 7.179
_cell_length_c 7.179
_cell_angle_alpha 90.00
_cell_angle_beta 90.00
_cell_angle_gamma 90.00
_space_group_name_H-M_alt 'F -4 3 m'
_space_group_IT_number 216
_space_group_name_Hall 'F -4 2 3'
loop_
_atom_site_label
_atom_site_type_symbol
_atom_site_fract_x
_atom_site_fract_y
_atom_site_fract_z
Li1 Li 0.000 0.000 0.000
Eu1 Eu 0.250 0.250 0.250
Th1 Th 0.250 0.250 0.750
Ir1 Ir 0.000 0.000 0.500
```